Here is a geometry-optimized Ga3MoPd12 structure from the Alexandria database. Energies are from PBE.

## Properties
SG   P4/mmm (123)
Density of states at the Fermi level   0.724 states/eV per atom
Calculated formation energy   -0.3718 eV per atom

Cell lengths 3.925, 3.925, 15.729 Å; angles 90.00, 90.00, 90.00 degrees
Fractional positions:
Ga 0.000 0.000 0.000
Ga 0.000 0.000 0.242
Ga 0.000 0.000 0.758
Mo 0.000 0.000 0.500
Pd 0.000 0.500 0.125
Pd 0.000 0.500 0.378
Pd 0.000 0.500 0.622
Pd 0.000 0.500 0.875
Pd 0.500 0.000 0.125
Pd 0.500 0.000 0.378
Pd 0.500 0.000 0.622
Pd 0.500 0.000 0.875
Pd 0.500 0.500 0.000
Pd 0.500 0.500 0.252
Pd 0.500 0.500 0.500
Pd 0.500 0.500 0.748

=====

Here is a geometry-optimized Tb2DyHf structure from the Alexandria database. Energies are from PBE.

## Properties
SG   R3m (160)
Density of states at the Fermi level   1.478 states/eV per atom
Calculated formation energy   0.1167 eV per atom

Cell lengths 11.373, 11.373, 11.373 Å; angles 17.42, 17.42, 17.42 degrees
Fractional positions:
Tb 0.000 0.000 0.000
Tb 0.177 0.177 0.177
Dy 0.755 0.755 0.755
Hf 0.589 0.589 0.589

=====

Here is a geometry-optimized AlSClO structure from the Alexandria database. Energies are from PBE.

## Properties
SG   Pm (6)
E_form (uncorrected)   -1.166 eV/atom

Cell lengths 4.075, 3.237, 5.901 Å; angles 90.00, 98.17, 90.00 degrees
Fractional positions:
Al 0.000 0.000 0.000
S 0.378 0.500 0.180
Cl 0.992 0.000 0.641
O 0.748 0.500 0.066

=====

Here is a geometry-optimized CaZrHg2Pb structure from the Alexandria database. Energies are from PBE.

## Properties
SG   P4/mmm (123)
Density of states at the Fermi level   0.892 states/eV per atom
Calculated formation energy   0.8080 eV per atom

Cell lengths 5.354, 5.354, 5.673 Å; angles 90.00, 90.00, 90.00 degrees
Fractional positions:
Ca 0.000 0.000 0.000
Zr 0.500 0.500 0.500
Hg 0.000 0.500 0.000
Hg 0.500 0.000 0.000
Pb 0.000 0.000 0.500

=====

Here is a geometry-optimized CeNdMoN4 structure from the Alexandria database. Energies are from PBE.

## Properties
SG   Cmcm (63)
E_form (uncorrected)   -1.035 eV/atom
Density of states at the Fermi level   0.546 states/eV per atom

Cell lengths 6.861, 6.861, 5.583 Å; angles 90.00, 90.00, 132.19 degrees
Fractional positions:
Ce 0.102 0.898 0.750
Ce 0.898 0.102 0.250
Nd 0.391 0.609 0.750
Nd 0.609 0.391 0.250
Mo 0.265 0.735 0.250
Mo 0.735 0.265 0.750
N 0.000 0.500 0.000
N 0.000 0.500 0.500
N 0.069 0.931 0.250
N 0.420 0.580 0.250
N 0.500 0.000 0.000
N 0.500 0.000 0.500
N 0.580 0.420 0.750
N 0.931 0.069 0.750

=====

Here is a geometry-optimized CaCd2CuO4 structure from the Alexandria database. Energies are from PBE.

## Properties
SG   Cmcm (63)
E_form (uncorrected)   -1.248 eV/atom
Density of states at the Fermi level   0.401 states/eV per atom

Cell lengths 5.847, 5.847, 11.702 Å; angles 90.00, 90.00, 147.50 degrees
Fractional positions:
Ca 0.127 0.873 0.750
Ca 0.873 0.127 0.250
Cd 0.369 0.631 0.543
Cd 0.369 0.631 0.957
Cd 0.631 0.369 0.043
Cd 0.631 0.369 0.457
Cu 0.135 0.865 0.250
Cu 0.865 0.135 0.750
O 0.000 0.000 0.000
O 0.000 0.000 0.500
O 0.265 0.735 0.130
O 0.265 0.735 0.370
O 0.466 0.534 0.750
O 0.534 0.466 0.250
O 0.735 0.265 0.630
O 0.735 0.265 0.870

=====

Ordered total magnetization results: 0.020 0.000 0.000 0.000 0.027 0.129; unit μB per atom.